Compound: TlBiSe2
Source: the Alexandria database
Functional: PBE-GGA
Structure: relaxed

Calculated values
Energy relative to the elements, uncorrected   -1.091 eV/f.u.
E_tot   -3.577 eV/atom
Total magnetic moment   0.00 μB per formula unit

abc: 7.8449 7.8449 9.7087
angles: 90.00 90.00 90.00
Space group I-42d (No. 122)
One atom of each set of equivalent atoms:
Tl1 0.0000 0.0000 0.0000
Bi1 0.0000 0.0000 0.5000
Se1 0.2110 0.2500 0.6250


Compound: TlBiSe2
Source: the Alexandria database
Functional: PBE-GGA
Structure: relaxed

Calculated values
Energy relative to the elements, uncorrected   -1.820 eV/f.u.
E_tot   -3.759 eV/atom
Total magnetic moment   0.00 μB per formula unit

abc: 4.3144 4.3144 22.9383
angles: 90.00 90.00 120.00
Space group R-3m (No. 166, hexagonal axes)
One atom of each set of equivalent atoms:
Tl1 0.0000 0.0000 0.0000
Bi1 0.0000 0.0000 0.5000
Se1 0.0000 0.0000 0.2387


Compound: Tl2BiSe3
Source: the Alexandria database
Functional: PBE-GGA
Structure: relaxed

Calculated values
Energy relative to the elements, uncorrected   -2.053 eV/f.u.
E_tot   -3.520 eV/atom
Total magnetic moment   0.00 μB per formula unit

abc: 4.3180 6.0604 13.5955
angles: 90.00 90.00 90.00
Space group Immm (No. 71)
One atom of each set of equivalent atoms:
Tl1 0.0000 0.0000 0.1656
Bi1 0.0000 0.0000 0.5000
Se1 0.0000 0.5000 0.1505
Se2 0.0000 0.5000 0.5000


Compound: Tl2BiSe
Source: the Alexandria database
Functional: PBE-GGA
Structure: relaxed

Calculated values
Energy relative to the elements, uncorrected   0.024 eV/f.u.
E_tot   -3.019 eV/atom
Total magnetic moment   0.00 μB per formula unit

abc: 3.8992 3.8992 30.7651
angles: 90.00 90.00 120.00
Space group R-3m (No. 166, hexagonal axes)
One atom of each set of equivalent atoms:
Tl1 0.0000 0.0000 0.1043
Bi1 0.0000 0.0000 0.0000
Se1 0.0000 0.0000 0.5000


Compound: Tl3BiSe3
Source: the Alexandria database
Functional: PBE-GGA
Structure: relaxed

Calculated values
Energy relative to the elements, uncorrected   -2.911 eV/f.u.
E_tot   -3.478 eV/atom
Total magnetic moment   0.00 μB per formula unit

abc: 12.4407 12.4407 12.4407
angles: 90.00 90.00 90.00
Space group I4_132 (No. 214)
One atom of each set of equivalent atoms:
Tl1 0.1230 0.3750 0.3730
Bi1 0.1250 0.1250 0.1250
Se1 0.1142 0.3642 0.1250


Compound: TlBiSe2
Source: the Alexandria database
Functional: PBE-GGA
Structure: relaxed

Calculated values
Energy relative to the elements, uncorrected   -1.124 eV/f.u.
E_tot   -3.585 eV/atom
Total magnetic moment   0.00 μB per formula unit

abc: 4.3598 4.3598 6.0852
angles: 90.00 90.00 90.00
Space group P4/mmm (No. 123)
One atom of each set of equivalent atoms:
Tl1 0.0000 0.0000 0.0000
Bi1 0.5000 0.5000 0.5000
Se1 0.0000 0.0000 0.5000
Se2 0.5000 0.5000 0.0000


Compound: TlBiSe2
Source: the Alexandria database
Functional: PBE-GGA
Structure: relaxed

Calculated values
Energy relative to the elements, uncorrected   -1.005 eV/f.u.
E_tot   -3.555 eV/atom
Total magnetic moment   0.00 μB per formula unit

abc: 4.2533 4.2533 27.9321
angles: 90.00 90.00 120.00
Space group R-3m (No. 166, hexagonal axes)
One atom of each set of equivalent atoms:
Tl1 0.0000 0.0000 0.0000
Bi1 0.0000 0.0000 0.5000
Se1 0.0000 0.0000 0.1077


Compound: TlBi3Se
Source: the Alexandria database
Functional: PBE-GGA
Structure: relaxed

Calculated values
Energy relative to the elements, uncorrected   4.648 eV/f.u.
E_tot   -2.569 eV/atom
Total magnetic moment   0.00 μB per formula unit

abc: 5.8106 5.8106 5.8106
angles: 90.00 90.00 90.00
Space group Pm-3m (No. 221)
One atom of each set of equivalent atoms:
Tl1 0.0000 0.0000 0.0000
Bi1 0.0000 0.0000 0.5000
Se1 0.5000 0.5000 0.5000


Compound: Tl12Bi3Se5
Source: the Alexandria database
Functional: PBE-GGA
Structure: relaxed

Calculated values
Energy relative to the elements, uncorrected   -2.613 eV/f.u.
E_tot   -3.004 eV/atom
Total magnetic moment   0.00 μB per formula unit

abc: 18.2244 18.2244 18.2244
angles: 90.00 90.00 90.00
Space group Ia-3d (No. 230)
One atom of each set of equivalent atoms:
Tl1 0.0163 0.0672 0.6546
Bi1 0.0000 0.2500 0.1250
Se1 0.0000 0.0000 0.0000
Se2 0.0000 0.2500 0.3750


Compound: TlBi3Se
Source: the Alexandria database
Functional: PBE-GGA
Structure: relaxed

Calculated values
Energy relative to the elements, uncorrected   1.839 eV/f.u.
E_tot   -3.131 eV/atom
Total magnetic moment   0.00 μB per formula unit

abc: 5.6942 5.6942 5.6942
angles: 90.00 90.00 90.00
Space group Pm-3m (No. 221)
One atom of each set of equivalent atoms:
Tl1 0.0000 0.0000 0.0000
Bi1 0.0000 0.5000 0.5000
Se1 0.5000 0.5000 0.5000


Compound: TlBiSe2
Source: the Alexandria database
Functional: PBE-GGA
Structure: relaxed

Calculated values
Energy relative to the elements, uncorrected   -1.770 eV/f.u.
E_tot   -3.746 eV/atom
Total magnetic moment   0.00 μB per formula unit

abc: 4.2597 4.2597 23.7048
angles: 90.00 90.00 120.00
Space group R3m (No. 160, hexagonal axes)
One atom of each set of equivalent atoms:
Tl1 0.0000 0.0000 0.0000
Bi1 0.0000 0.0000 0.1719
Se1 0.0000 0.0000 0.5785
Se2 0.0000 0.0000 0.7693


Compound: TlBi6Se8
Source: the Alexandria database
Functional: PBE-GGA
Structure: relaxed

Calculated values
Energy relative to the elements, uncorrected   -3.100 eV/f.u.
E_tot   -3.775 eV/atom
Total magnetic moment   0.00 μB per formula unit

abc: 12.1317 12.1317 13.5007
angles: 90.00 90.00 120.00
Space group R-3 (No. 148, hexagonal axes)
One atom of each set of equivalent atoms:
Tl1 0.0000 0.0000 0.0000
Bi1 0.0103 0.1783 0.3852
Se1 0.0000 0.0000 0.2366
Se2 0.0043 0.2830 0.5934


Repeat the eleventh record exactly.
Compound: TlBiSe2
Source: the Alexandria database
Functional: PBE-GGA
Structure: relaxed

Calculated values
Energy relative to the elements, uncorrected   -1.770 eV/f.u.
E_tot   -3.746 eV/atom
Total magnetic moment   0.00 μB per formula unit

abc: 4.2597 4.2597 23.7048
angles: 90.00 90.00 120.00
Space group R3m (No. 160, hexagonal axes)
One atom of each set of equivalent atoms:
Tl1 0.0000 0.0000 0.0000
Bi1 0.0000 0.0000 0.1719
Se1 0.0000 0.0000 0.5785
Se2 0.0000 0.0000 0.7693